Rb2VCF6 (PBE with a Hubbard U, optimized geometry); raw total energy = -4.810 eV/atom; spin magnetization = 0.30 μB/atom; space group = No. 139
1.0
5.6824 0.0000 0.0000
0.0000 5.6824 0.0000
2.8412 2.8412 5.0182
Rb C V F
2 1 1 6
Cartesian
5.6824 2.8412 2.5091
2.8412 5.6824 2.5091
2.8412 2.8412 0.0000
0.0000 0.0000 0.0000
2.8412 2.8412 3.0778
4.2572 1.4252 0.0000
1.4252 1.4252 0.0000
1.4252 4.2572 0.0000
4.2572 4.2572 0.0000
5.6824 5.6824 1.9405